# 1
## InHg3O (PBE)

Data for an optimized crystal structure of InHg3O.

Its polymorph energy (0 for the lowest one) is 0.423 eV/atom. As for the calculated total energy: -0.04014 Ha/atom. For the density of states at the Fermi level, the calculation gives 3.2869 states/eV/atom. For the formation energy without anion corrections, the calculation gives 3.14 eV/f.u.

It has space group Pm-3m (No. 221), with a = 5.6402 Å, b = 5.6402 Å, c = 5.6402 Å, α = 90.00°, β = 90.00° and γ = 90.00°. The distinct sites, in fractional coordinates, are In at (0.0000, 0.0000, 0.0000), Hg at (0.0000, 0.0000, 0.5000) and O at (0.5000, 0.5000, 0.5000).



# 2
## InHgO2 (PBE)

Data for an optimized crystal structure of InHgO2.

Its polymorph energy (0 for the lowest one) is 0.125 eV/atom. As for the calculated total energy: -0.14924 Ha/atom. For the density of states at the Fermi level, the calculation gives 0.0618 states/eV/atom. For the formation energy without anion corrections, the calculation gives -3.29 eV/f.u.

It has space group I-42d (No. 122), with a = 5.3656 Å, b = 5.3656 Å, c = 10.0991 Å, α = 90.00°, β = 90.00° and γ = 90.00°. The distinct sites, in fractional coordinates, are In at (0.0000, 0.0000, 0.0000), Hg at (0.0000, 0.0000, 0.5000) and O at (0.1938, 0.2500, 0.1250).